No. 1
Computed, not measured: a relaxed structure of SnSe2IBr at the PBE level of DFT.

a b c (Å): 5.440 5.440 5.411
angles (deg): 90.00 90.00 90.00
Space group P4/mmm (No. 123)
Symmetry-distinct sites (fractional):
Sn (0.000, 0.000, 0.000)
Se (0.000, 0.500, 0.000)
I (0.500, 0.500, 0.500)
Br (0.000, 0.000, 0.500)

Output
- Uncorrected formation energy: 5.74 kcal/mol of atoms
- Calculated volume: 160.1 Å³/cell
- Offset from the most stable computed form: 0.0000 eV per atom
- Mass density: 5013 kg/m³

---

No. 2
Computed, not measured: a relaxed structure of SrSeIBr2 at the PBE level of DFT.

a b c (Å): 5.636 5.636 5.994
angles (deg): 90.00 90.00 90.00
Space group P4/mmm (No. 123)
Symmetry-distinct sites (fractional):
Sr (0.000, 0.000, 0.000)
Se (0.500, 0.500, 0.000)
I (0.500, 0.500, 0.500)
Br (0.000, 0.500, 0.500)

Output
- Uncorrected formation energy: -10.04 kcal/mol of atoms
- Calculated volume: 190.4 Å³/cell
- Offset from the most stable computed form: 0.1200 eV per atom
- Mass density: 3953 kg/m³

---

No. 3
Computed, not measured: a relaxed structure of SrSeIBr2 at the PBE level of DFT.

a b c (Å): 5.908 5.908 6.365
angles (deg): 90.00 90.00 90.00
Space group P4/mmm (No. 123)
Symmetry-distinct sites (fractional):
Sr (0.000, 0.000, 0.000)
Se (0.000, 0.000, 0.500)
I (0.500, 0.500, 0.500)
Br (0.000, 0.500, 0.000)

Output
- Uncorrected formation energy: -12.81 kcal/mol of atoms
- Calculated volume: 222.2 Å³/cell
- Offset from the most stable computed form: 0.0000 eV per atom
- Mass density: 3388 kg/m³

---

No. 4
Computed, not measured: a relaxed structure of TcSeIBr2 at the PBE level of DFT.

a b c (Å): 5.165 5.165 4.885
angles (deg): 90.00 90.00 90.00
Space group P4/mmm (No. 123)
Symmetry-distinct sites (fractional):
Tc (0.000, 0.000, 0.000)
Se (0.000, 0.000, 0.500)
I (0.500, 0.500, 0.500)
Br (0.000, 0.500, 0.000)

Output
- Uncorrected formation energy: 5.22 kcal/mol of atoms
- Calculated volume: 130.3 Å³/cell
- Offset from the most stable computed form: 0.0000 eV per atom
- Mass density: 5909 kg/m³

---

No. 5
Computed, not measured: a relaxed structure of TcSe2IBr at the PBE level of DFT.

a b c (Å): 4.900 4.900 5.204
angles (deg): 90.00 90.00 90.00
Space group P4/mmm (No. 123)
Symmetry-distinct sites (fractional):
Tc (0.000, 0.000, 0.000)
Se (0.000, 0.500, 0.000)
I (0.500, 0.500, 0.500)
Br (0.000, 0.000, 0.500)

Output
- Uncorrected formation energy: 5.61 kcal/mol of atoms
- Calculated volume: 125.0 Å³/cell
- Offset from the most stable computed form: 0.0000 eV per atom
- Mass density: 6148 kg/m³

---

No. 6
Computed, not measured: a relaxed structure of TeSeIBr2 at the PBE level of DFT.

a b c (Å): 5.447 5.447 5.746
angles (deg): 90.00 90.00 90.00
Space group P4/mmm (No. 123)
Symmetry-distinct sites (fractional):
Te (0.000, 0.000, 0.000)
Se (0.000, 0.000, 0.500)
I (0.500, 0.500, 0.500)
Br (0.000, 0.500, 0.000)

Output
- Uncorrected formation energy: 4.89 kcal/mol of atoms
- Calculated volume: 170.5 Å³/cell
- Offset from the most stable computed form: 0.0000 eV per atom
- Mass density: 4805 kg/m³

---

No. 7
Computed, not measured: a relaxed structure of TiSeIBr2 at the PBE level of DFT.

a b c (Å): 5.041 5.041 5.290
angles (deg): 90.00 90.00 90.00
Space group P4/mmm (No. 123)
Symmetry-distinct sites (fractional):
Ti (0.000, 0.000, 0.000)
Se (0.000, 0.000, 0.500)
I (0.500, 0.500, 0.500)
Br (0.000, 0.500, 0.000)

Output
- Uncorrected formation energy: -10.02 kcal/mol of atoms
- Calculated volume: 134.4 Å³/cell
- Offset from the most stable computed form: 0.0000 eV per atom
- Mass density: 5108 kg/m³

---

No. 8
Computed, not measured: a relaxed structure of TiSeIBr2 at the PBE level of DFT.

a b c (Å): 5.707 5.707 5.531
angles (deg): 90.00 90.00 90.00
Space group P4/mmm (No. 123)
Symmetry-distinct sites (fractional):
Ti (0.000, 0.000, 0.000)
Se (0.500, 0.500, 0.000)
I (0.500, 0.500, 0.500)
Br (0.000, 0.500, 0.500)

Output
- Uncorrected formation energy: 16.12 kcal/mol of atoms
- Calculated volume: 180.2 Å³/cell
- Offset from the most stable computed form: 1.1333 eV per atom
- Mass density: 3812 kg/m³

---

No. 9
Computed, not measured: a relaxed structure of Tl6Se2I2Br at the PBE level of DFT.

a b c (Å): 7.778 14.347 8.594
angles (deg): 90.00 107.15 90.00
Space group C2/m (No. 12)
Symmetry-distinct sites (fractional):
Tl (0.224, 0.000, 0.210)
Tl (0.241, 0.315, 0.213)
Se (0.000, 0.169, 0.000)
I (0.000, 0.340, 0.500)
Br (0.000, 0.500, 0.000)

Output
- Uncorrected formation energy: -11.35 kcal/mol of atoms
- Calculated volume: 916.4 Å³/cell
- Mass density: 6226 kg/m³

---

No. 10
Computed, not measured: a relaxed structure of Tl8SeI3Br3 at the PBE level of DFT.

a b c (Å): 9.6679 9.6679 24.2899
angles (deg): 90.00 90.00 120.00
Space group R-3m (No. 166, hexagonal axes)
Symmetry-distinct sites (fractional):
Tl (0.0000, 0.0000, 0.2443)
Tl (0.0252, 0.5126, 0.2389)
Se (0.0000, 0.0000, 0.5000)
I (0.0000, 0.5000, 0.0000)
Br (0.0000, 0.5000, 0.5000)

Output
- Uncorrected formation energy: -15.57 kcal/mol of atoms
- Calculated volume: 1966.3 Å³/cell
- Mass density: 5914 kg/m³

---

No. 11
Computed, not measured: a relaxed structure of Tl5SeI2Br at the PBE level of DFT.

a b c (Å): 4.704 20.984 14.603
angles (deg): 90.00 90.00 90.00
Space group Cmc2_1 (No. 36)
Symmetry-distinct sites (fractional):
Tl (0.000, 0.008, 0.000)
Tl (0.000, 0.129, 0.252)
Tl (0.000, 0.201, 0.634)
Tl (0.000, 0.233, 0.919)
Tl (0.000, 0.417, 0.326)
Se (0.000, 0.278, 0.274)
I (0.000, 0.371, 0.571)
I (0.000, 0.395, 0.938)
Br (0.000, 0.044, 0.696)

Output
- Uncorrected formation energy: -13.39 kcal/mol of atoms
- Calculated volume: 1441.2 Å³/cell
- Mass density: 6612 kg/m³

---

No. 12
Computed, not measured: a relaxed structure of Tl4SeI2Br at the PBE level of DFT.

a b c (Å): 8.282 4.680 8.371
angles (deg): 90.00 109.48 90.00
Space group P2/m (No. 10)
Symmetry-distinct sites (fractional):
Tl (0.217, 0.000, 0.212)
Tl (0.253, 0.500, 0.771)
Se (0.000, 0.500, 0.000)
I (0.000, 0.000, 0.500)
I (0.500, 0.500, 0.500)
Br (0.500, 0.000, 0.000)

Output
- Uncorrected formation energy: -12.51 kcal/mol of atoms
- Calculated volume: 305.9 Å³/cell
- Mass density: 6679 kg/m³